VASP calculation (GGA-PBE) on crystalline MnMoW2 at its relaxed geometry.

abc: 9.2899 9.2899 9.2899
angles: 17.11 17.11 17.11
Element x y z (fractional)
W: 0.5066 0.5066 0.5066
W: 0.9934 0.9934 0.9934
Mo: 0.7500 0.7500 0.7500
Mn: 0.2500 0.2500 0.2500

Values from the calculation:
DOS at the Fermi energy	3.21	states/eV per cell
theoretical density	14.2	Mg/m³
symmetry	R-3m, No. 166
formation enthalpy at 0 K	406	meV/atom